This record from the Alexandria database describes a PBEsol-optimized structure of BaFeTc2. The functional is meta-GGA SCAN.

Cell: 2.767 5.189 5.660 Å, 117.28 90.00 90.00°
Fractional coordinates of all 4 atoms:
Tc 0.000 0.500 0.500
Tc 0.000 0.000 0.500
Ba 0.500 0.000 0.000
Fe 0.500 0.500 0.000

* D(E_F): 3.81 states/eV per cell
* crystal system: orthorhombic
* E: -30.48 eV per atom